No. 1
Below is a relaxed MnCd2Sb crystal, with properties calculated at the PBE level.

The structure belongs to space group I-4m2 (No. 119); the cell edges are 4.382, 4.382 and 8.954 Å and the angles 90.00°, 90.00° and 90.00°. Symmetry generates all atoms from Mn at (0.000, 0.000, 0.000), Cd at (0.000, 0.000, 0.500), Cd at (0.000, 0.500, 0.250) and Sb at (0.000, 0.500, 0.750).

As for the volume: 21.5 A^3/atom. The value obtained for the uncorrected formation energy is 234 meV per atom. The density of states at the Fermi level is 5.42 states/eV per cell.



No. 2
Below is a relaxed MnCd2Sb crystal, with properties calculated at the PBE level.

The structure belongs to space group Cmm2 (No. 35); the cell edges are 4.432, 4.449 and 8.881 Å and the angles 90.00°, 90.00° and 90.00°. Symmetry generates all atoms from Mn at (0.000, 0.000, 0.000), Cd at (0.000, 0.000, 0.470), Cd at (0.000, 0.500, 0.212) and Sb at (0.000, 0.500, 0.793).

As for the volume: 21.9 A^3/atom. The value obtained for the uncorrected formation energy is 176 meV per atom. The density of states at the Fermi level is 5.17 states/eV per cell.



No. 3
Below is a relaxed MnCd2SbTe crystal, with properties calculated at the PBE level.

The structure belongs to space group P4/mmm (No. 123); the cell edges are 5.610, 5.610 and 5.026 Å and the angles 90.00°, 90.00° and 90.00°. Symmetry generates all atoms from Mn at (0.000, 0.000, 0.000), Cd at (0.000, 0.500, 0.500), Sb at (0.500, 0.500, 0.000) and Te at (0.000, 0.000, 0.500).

As for the volume: 31.6 A^3/atom. The value obtained for the uncorrected formation energy is 632 meV per atom. The density of states at the Fermi level is 3.84 states/eV per cell.



No. 4
Below is a relaxed MnCdSbTe2 crystal, with properties calculated at the PBE level.

The structure belongs to space group P4/mmm (No. 123); the cell edges are 5.611, 5.611 and 5.459 Å and the angles 90.00°, 90.00° and 90.00°. Symmetry generates all atoms from Mn at (0.000, 0.000, 0.000), Cd at (0.500, 0.500, 0.500), Sb at (0.500, 0.500, 0.000) and Te at (0.000, 0.500, 0.500).

As for the volume: 34.4 A^3/atom. The value obtained for the uncorrected formation energy is 892 meV per atom. The density of states at the Fermi level is 5.50 states/eV per cell. For the polymorph energy (0 for the lowest one), the calculation gives 10.85 kcal/mol of atoms.



No. 5
Below is a relaxed MnCdSbTe2 crystal, with properties calculated at the PBE level.

The structure belongs to space group P4/mmm (No. 123); the cell edges are 5.195, 5.195 and 4.918 Å and the angles 90.00°, 90.00° and 90.00°. Symmetry generates all atoms from Mn at (0.000, 0.000, 0.000), Cd at (0.500, 0.500, 0.500), Sb at (0.000, 0.000, 0.500) and Te at (0.000, 0.500, 0.000).

As for the volume: 26.5 A^3/atom. The value obtained for the uncorrected formation energy is 422 meV per atom. The density of states at the Fermi level is 8.47 states/eV per cell. For the polymorph energy (0 for the lowest one), the calculation gives 0.00 kcal/mol of atoms.



No. 6
Below is a relaxed MnZnCdSb2 crystal, with properties calculated at the PBE level.

The structure belongs to space group P4/mmm (No. 123); the cell edges are 4.923, 4.923 and 4.872 Å and the angles 90.00°, 90.00° and 90.00°. Symmetry generates all atoms from Mn at (0.000, 0.000, 0.000), Zn at (0.000, 0.000, 0.500), Cd at (0.500, 0.500, 0.500) and Sb at (0.000, 0.500, 0.000).

As for the volume: 23.6 A^3/atom. The value obtained for the uncorrected formation energy is 316 meV per atom. The density of states at the Fermi level is 3.12 states/eV per cell.



No. 7
Below is a relaxed ScMnCd crystal, with properties calculated at the PBE level.

The structure belongs to space group F-43m (No. 216); the cell edges are 6.439, 6.439 and 6.439 Å and the angles 90.00°, 90.00° and 90.00°. Symmetry generates all atoms from Sc at (0.000, 0.000, 0.000), Mn at (0.250, 0.250, 0.250) and Cd at (0.000, 0.000, 0.500).

As for the volume: 22.3 A^3/atom. The calculation puts the formation energy at 117 kJ/mol of formula units. The density of states at the Fermi level is 18.80 states/eV per cell. For the polymorph energy (0 for the lowest one), the calculation gives 9.60 kcal/mol of atoms.



No. 8
Below is a relaxed ScMnCd2 crystal, with properties calculated at the PBE level.

The structure belongs to space group P4/mmm (No. 123); the cell edges are 3.385, 3.385 and 6.986 Å and the angles 90.00°, 90.00° and 90.00°. Symmetry generates all atoms from Sc at (0.000, 0.000, 0.000), Mn at (0.000, 0.000, 0.500) and Cd at (0.500, 0.500, 0.273).

As for the volume: 20.0 A^3/atom. The calculation puts the formation energy at 4 kJ/mol of formula units. The density of states at the Fermi level is 3.45 states/eV per cell.



No. 9
Below is a relaxed ScMnCd2 crystal, with properties calculated at the PBE level.

The structure belongs to space group Imm2 (No. 44); the cell edges are 3.351, 4.924 and 9.730 Å and the angles 90.00°, 90.00° and 90.00°. Symmetry generates all atoms from Sc at (0.000, 0.000, 0.000), Mn at (0.000, 0.500, 0.261), Cd at (0.000, 0.000, 0.520) and Cd at (0.000, 0.500, 0.769).

As for the volume: 20.1 A^3/atom. The calculation puts the formation energy at 28 kJ/mol of formula units. The density of states at the Fermi level is 7.25 states/eV per cell.



No. 10
Below is a relaxed ScMnCd2 crystal, with properties calculated at the PBE level.

The structure belongs to space group I-42d (No. 122); the cell edges are 4.094, 4.094 and 20.876 Å and the angles 90.00°, 90.00° and 90.00°. Symmetry generates all atoms from Sc at (0.000, 0.000, 0.000), Mn at (0.000, 0.000, 0.500) and Cd at (0.239, 0.250, 0.625).

As for the volume: 21.9 A^3/atom. The calculation puts the formation energy at 129 kJ/mol of formula units. The density of states at the Fermi level is 14.83 states/eV per cell.



No. 11
Below is a relaxed ScMn2Cd crystal, with properties calculated at the PBE level.

The structure belongs to space group I-4m2 (No. 119); the cell edges are 4.015, 4.015 and 8.630 Å and the angles 90.00°, 90.00° and 90.00°. Symmetry generates all atoms from Sc at (0.000, 0.000, 0.000), Mn at (0.000, 0.000, 0.500), Mn at (0.000, 0.500, 0.250) and Cd at (0.000, 0.500, 0.750).

As for the volume: 17.4 A^3/atom. The calculation puts the formation energy at 59 kJ/mol of formula units. The density of states at the Fermi level is 8.87 states/eV per cell.



No. 12
Below is a relaxed ScMnCd2 crystal, with properties calculated at the PBE level.

The structure belongs to space group Cmmm (No. 65); the cell edges are 6.024, 8.622 and 3.105 Å and the angles 90.00°, 90.00° and 90.00°. Symmetry generates all atoms from Sc at (0.000, 0.000, 0.000), Mn at (0.000, 0.500, 0.000) and Cd at (0.250, 0.250, 0.500).

As for the volume: 20.2 A^3/atom. The calculation puts the formation energy at 35 kJ/mol of formula units. The density of states at the Fermi level is 7.86 states/eV per cell.